MgNbPS2: relaxed, PBE.

Output
Size of the total moment: 0.0 μB per formula unit
Crystal system: tetragonal
SG: P4/mmm (123)
ΔE_f (raw): 0.664 eV per atom
E above lowest polymorph: 890 meV per atom

CIF file:
```
data_MgNbPS2
_symmetry_space_group_name_H-M 'P 1'
_symmetry_Int_Tables_number 1
_cell_length_a 4.545
_cell_length_b 4.545
_cell_length_c 4.794
_cell_angle_alpha 90.00
_cell_angle_beta 90.00
_cell_angle_gamma 90.00
loop_
_symmetry_equiv_pos_as_xyz
'x,y,z'
loop_
_atom_site_label
_atom_site_type_symbol
_atom_site_fract_x
_atom_site_fract_y
_atom_site_fract_z
P1 P 0.000 0.000 0.500
S1 S 0.500 0.000 0.000
S2 S 0.000 0.500 0.000
Mg1 Mg 0.000 0.000 0.000
Nb1 Nb 0.500 0.500 0.500
```